A relaxed structure of NaLiPrAg. Source: the Alexandria database, functional PBE.

Structure (extended XYZ):
```
4
Lattice="0.0000 3.7116 3.7116 3.7116 0.0000 3.7116 3.7116 3.7116 0.0000" Properties=species:S:1:pos:R:3 pbc="T T T"
Na 0.0000 0.0000 0.0000
Li 5.5674 5.5674 5.5674
Pr 3.7116 3.7116 3.7116
Ag 1.8558 1.8558 1.8558
```

Properties
- SG: No. 216
- Raw total energy: -2.67 eV/atom
- Calculated formation energy: 41 meV per atom

=====

A relaxed structure of CsZnGa2Ir. Source: the Alexandria database, functional PBE.

Structure (extended XYZ):
```
5
Lattice="4.9081 0.0000 0.0000 0.0000 4.9081 0.0000 0.0000 0.0000 5.1307" Properties=species:S:1:pos:R:3 pbc="T T T"
Cs 0.0000 0.0000 0.0000
Zn 2.4540 2.4540 0.0000
Ga 0.0000 2.4540 2.5654
Ga 2.4540 0.0000 2.5654
Ir 2.4540 2.4540 2.5654
```

Properties
- SG: No. 123
- Raw total energy: -3.68 eV/atom
- Calculated formation energy: -274 meV per atom